La2BrCl: optimized geometry, PBE-GGA.

POSCAR file:
```
La2BrCl
1.0
3.771 0.013 0.000
-2.001 3.197 0.000
0.000 0.000 9.857
Br La Cl
1 2 1
direct
0.500 0.500 0.250
0.000 0.000 0.506
0.000 0.000 0.994
0.500 0.500 0.750
```

## Properties
The calculation puts the formation energy (no corrections) at -1277 meV per atom. For the energy above the most stable polymorph in this dataset, the calculation gives 0.144 eV/atom.

=====

ThBiN: optimized geometry, PBE-GGA.

POSCAR file:
```
ThBiN
1.0
-3.147 -1.010 2.716
-1.469 -2.901 -2.780
4.666 -5.562 3.337
Bi N Th
2 2 2
direct
0.500 0.000 0.567
0.000 0.500 0.433
0.000 0.000 0.000
0.500 0.500 0.000
0.000 0.500 0.867
0.500 0.000 0.133
```

## Properties
The calculation puts the formation energy (no corrections) at -1224 meV per atom. For the energy above the most stable polymorph in this dataset, the calculation gives 0.000 eV/atom.

=====

KCo2C2: optimized geometry, PBE-GGA.

POSCAR file:
```
KCo2C2
1.0
-0.259 0.768 3.695
-2.768 -2.556 0.337
2.435 -5.021 3.150
K Co C
1 2 2
direct
0.000 0.000 0.000
0.256 0.256 0.489
0.744 0.744 0.511
0.750 0.250 0.500
0.250 0.750 0.500
```

## Properties
For the energy above the most stable polymorph in this dataset, the calculation gives 0.000 eV/atom.

=====

Hg3Au: optimized geometry, PBE-GGA.

POSCAR file:
```
Hg3Au
1.0
11.963 0.248 0.145
11.520 3.234 0.145
11.520 1.708 2.750
Hg Au
3 1
direct
0.742 0.742 0.742
0.258 0.258 0.258
0.500 0.500 0.500
0.000 0.000 0.000
```

## Properties
For the energy above the most stable polymorph in this dataset, the calculation gives 0.055 eV/atom.

=====

Al2VNi8: optimized geometry, PBE-GGA.

POSCAR file:
```
Al2VNi8
1.0
3.768 0.212 -0.139
-0.395 5.715 -1.969
0.203 0.325 6.045
Ni Al V
8 2 1
direct
0.000 0.700 0.961
0.000 0.300 0.039
0.000 0.961 0.700
0.000 0.039 0.300
0.500 0.331 0.331
0.500 0.241 0.759
0.500 0.759 0.241
0.500 0.669 0.669
0.000 0.370 0.630
0.000 0.630 0.370
0.500 0.000 0.000
```

## Properties
For the energy above the most stable polymorph in this dataset, the calculation gives 0.003 eV/atom.

=====

Pu2SF4: optimized geometry, PBE-GGA.

POSCAR file:
```
Pu2SF4
1.0
-0.726 3.135 -2.545
-3.609 0.282 -1.931
-4.132 5.060 4.104
Pu F S
2 4 1
direct
0.248 0.248 0.256
0.752 0.752 0.744
0.139 0.139 0.582
0.573 0.573 0.282
0.861 0.861 0.418
0.427 0.427 0.718
0.000 0.000 0.000
```

## Properties
The calculation puts the formation energy (no corrections) at -3116 meV per atom.

=====

NaNb2InAg: optimized geometry, PBE-GGA.

POSCAR file:
```
NaNb2InAg
1.0
-0.340 -2.248 4.805
1.873 -4.463 -1.956
4.950 1.596 1.098
In Nb Ag Na
1 2 1 1
direct
0.000 0.000 0.000
0.000 0.000 0.500
0.500 0.000 0.000
0.000 0.500 0.000
0.500 0.500 0.500
```

## Properties
For the raw total energy, the calculation gives -19.46 eV per cell.

=====

Y6FeTe4: optimized geometry, PBE-GGA.

POSCAR file:
```
Y6FeTe4
1.0
-5.551 6.472 -0.549
-3.565 -2.280 7.423
5.593 4.998 4.093
Te Y Fe
8 12 2
direct
0.122 0.750 0.622
0.878 0.250 0.378
0.622 0.878 0.750
0.378 0.122 0.250
0.250 0.622 0.122
0.250 0.250 0.750
0.750 0.750 0.250
0.750 0.378 0.878
0.788 0.570 0.560
0.940 0.070 0.712
0.560 0.212 0.570
0.070 0.288 0.060
0.430 0.560 0.788
0.060 0.930 0.288
0.288 0.940 0.930
0.570 0.440 0.212
0.440 0.788 0.430
0.930 0.712 0.940
0.712 0.060 0.070
0.212 0.430 0.440
0.500 0.500 0.500
0.000 0.000 0.000
```

## Properties
The calculation puts the formation energy (no corrections) at -874 meV per atom.

=====

Li8HfO6: optimized geometry, PBE-GGA.

POSCAR file:
```
Li8HfO6
1.0
-5.650 -0.894 -0.068
2.954 -0.735 4.844
-1.689 10.477 2.621
Li O Hf
16 12 2
direct
0.333 0.667 0.905
0.000 0.584 0.126
0.316 0.316 0.769
0.667 0.333 0.405
0.333 0.667 0.405
0.584 0.584 0.626
0.416 0.416 0.126
0.667 0.333 0.905
0.000 0.684 0.769
0.416 0.000 0.626
0.000 0.416 0.626
0.316 0.000 0.269
0.684 0.684 0.269
0.584 0.000 0.126
0.684 0.000 0.769
0.000 0.316 0.269
0.000 0.672 0.949
0.000 0.328 0.449
0.333 0.667 0.214
0.328 0.328 0.949
0.672 0.000 0.949
0.667 0.333 0.714
0.328 0.000 0.449
0.000 0.000 0.179
0.667 0.333 0.214
0.672 0.672 0.449
0.333 0.667 0.714
0.000 0.000 0.679
0.000 0.000 0.498
0.000 0.000 0.998
```

## Properties
The calculation puts the formation energy (no corrections) at -2169 meV per atom. For the energy above the most stable polymorph in this dataset, the calculation gives 0.061 eV/atom.

=====

La2BiSe: optimized geometry, PBE-GGA.

POSCAR file:
```
La2BiSe
1.0
4.444 0.000 0.000
2.222 3.849 0.000
2.222 1.283 7.694
La Se Bi
2 1 1
direct
0.075 0.075 0.775
0.257 0.257 0.228
0.669 0.669 0.994
0.499 0.499 0.503
```

## Properties
The calculation puts the formation energy (no corrections) at -1418 meV per atom. For the energy above the most stable polymorph in this dataset, the calculation gives 0.089 eV/atom.